Li2Ca8Pt after structural relaxation, computed with PBE-GGA.

Cell: 18.6626 5.5418 7.2626 Å, 90.00 99.11 90.00°
Space group C2/m (No. 12)
Asymmetric unit:
Li  0.1706  0.0000  0.1701 x4
Ca  0.0223  0.0000  0.7833 x4
Ca  0.0861  0.5000  0.3804 x4
Ca  0.1485  0.5000  0.9197 x4
Ca  0.2110  0.0000  0.6322 x4
Pt  0.0000  0.5000  0.0000 x2

The magnetization is 0.00 μB/f.u. As for the crystal system: monoclinic. For the formation energy, the calculation gives -4.13 kcal/mol of atoms. Its final energy is -55.70 eV for the cell shown.

---

La3Sm2Tm3 after structural relaxation, computed with PBE-GGA.

Cell: 5.9362 5.9703 15.2038 Å, 90.00 90.00 90.00°
Space group Immm (No. 71)
Asymmetric unit:
La  0.0000  0.0000  0.0000 x2
La  0.0000  0.5000  0.1486 x4
Sm  0.0000  0.0000  0.2534 x4
Tm  0.0000  0.0000  0.5000 x2
Tm  0.0000  0.5000  0.3789 x4

The magnetization is 0.00 μB/f.u. As for the energy above the most stable polymorph in this dataset: 0.088 eV per atom. As for the crystal system: orthorhombic. For the formation energy, the calculation gives 2.76 kcal/mol of atoms. Its final energy is -73.36 eV for the cell shown.

---

LiHgSe after structural relaxation, computed with PBE-GGA.

Cell: 2.9008 4.1603 12.9337 Å, 90.00 90.00 90.00°
Space group Imm2 (No. 44)
Asymmetric unit:
Li  0.0000  0.0000  0.0000 x2
Hg  0.0000  0.0000  0.7751 x2
Se  0.0000  0.0000  0.5434 x2

The magnetization is 0.00 μB/f.u. As for the energy above the most stable polymorph in this dataset: 0.000 eV per atom. As for the crystal system: orthorhombic. The calculation puts the uncorrected formation energy at -0.4885 eV/atom. Its final energy is -14.33 eV for the cell shown.

---

Ca2NiH6Au after structural relaxation, computed with PBE-GGA.

Cell: 5.0041 5.0041 5.0266 Å, 90.00 90.00 120.00°
Space group P-3m1 (No. 164)
Asymmetric unit:
Ca  0.3333  0.6667  0.2161 x2
Ni  0.0000  0.0000  0.0000 x1
H  0.1643  0.3285  0.8102 x6
Au  0.0000  0.0000  0.5000 x1

The magnetization is 0.00 μB/f.u. As for the crystal system: trigonal. Its final energy is -35.76 eV for the cell shown.

---

Tm6SnTe3Pb2 after structural relaxation, computed with PBE-GGA.

Cell: 19.0341 4.3691 8.7299 Å, 90.00 103.45 90.00°
Space group C2/m (No. 12)
Asymmetric unit:
Tm  0.0024  0.0000  0.2397 x4
Tm  0.1626  0.5000  0.0886 x4
Tm  0.1689  0.5000  0.5761 x4
Sn  0.0000  0.5000  0.0000 x2
Te  0.0000  0.5000  0.5000 x2
Te  0.1670  0.0000  0.8332 x4
Pb  0.1667  0.0000  0.3328 x4

The magnetization is 0.00 μB/f.u. As for the crystal system: monoclinic. The calculation puts the uncorrected formation energy at -0.8912 eV/atom. Its final energy is -116.74 eV for the cell shown.

---

CrCd2Ag after structural relaxation, computed with PBE-GGA.

Cell: 4.2745 4.2745 4.2046 Å, 90.00 90.00 90.00°
Space group P4/mmm (No. 123)
Asymmetric unit:
Cr  0.0000  0.0000  0.0000 x1
Cd  0.0000  0.5000  0.5000 x2
Ag  0.5000  0.5000  0.0000 x1

The magnetization is 4.08 μB/f.u. As for the crystal system: tetragonal. For the formation energy, the calculation gives 5.28 kcal/mol of atoms. Its final energy is -13.39 eV for the cell shown.